# TmTh4Sn4

A geometry-optimized TmTh4Sn4 structure (PBE, the Alexandria database).

Unit cell a=6.2890 b=9.1921 c=9.1921 alpha=90.00 beta=90.00 gamma=90.00
Fractional coordinates of all 18 atoms:
Sn  0.6370  0.8873  0.2002
Sn  0.1370  0.2998  0.3873
Sn  0.8630  0.3873  0.7002
Sn  0.3630  0.7998  0.8873
Sn  0.6370  0.1127  0.7998
Sn  0.3630  0.2002  0.1127
Sn  0.1370  0.7002  0.6127
Sn  0.8630  0.6127  0.2998
Th  0.6483  0.1676  0.4281
Th  0.3517  0.5719  0.1676
Th  0.1483  0.0719  0.6676
Th  0.8517  0.3324  0.0719
Th  0.8517  0.6676  0.9281
Th  0.1483  0.9281  0.3324
Th  0.6483  0.8324  0.5719
Th  0.3517  0.4281  0.8324
Tm  0.5000  0.5000  0.5000
Tm  0.0000  0.0000  0.0000

Summary:
N(E_F) in states/eV per cell: 18.39
Energy relative to the elements in eV per formula unit: -2.712
Volume in Å³ per atom: 29.522

***

# TmThSn6

A geometry-optimized TmThSn6 structure (PBE, the Alexandria database).

Unit cell a=4.7343 b=4.7343 c=9.3960 alpha=90.00 beta=90.00 gamma=90.00
Fractional coordinates of all 8 atoms:
Sn  0.0000  0.5000  0.2558
Sn  0.5000  0.0000  0.7442
Sn  0.5000  0.5000  0.0000
Sn  0.5000  0.0000  0.2558
Sn  0.5000  0.5000  0.5000
Sn  0.0000  0.5000  0.7442
Th  0.0000  0.0000  0.0000
Tm  0.0000  0.0000  0.5000

Summary:
N(E_F) in states/eV per cell: 3.96
Energy relative to the elements in eV per formula unit: -3.238
Volume in Å³ per atom: 26.325

***

- volume of number 1 (TmTh4Sn4)?
  29.522 Å³ per atom